#1
The following is a PBEsol calculation of a geometry-optimized SbAuBr2 structure, from the Alexandria database.

a b c (Å): 13.9524 3.6254 4.4237
angles (deg): 90.00 90.84 90.00
Space group C2/m (No. 12)
Unique sites:
Sb 0.0000 0.0000 0.0000 (multiplicity 2)
Au 0.0000 0.5000 0.5000 (multiplicity 2)
Br 0.1645 0.5000 0.7741 (multiplicity 4)

Calculated values
M_tot ... 0.00 μB per cell
Crystal system ... monoclinic
D(E_F) ... 2.83 states/eV/cell

***

#2
The following is a PBEsol calculation of a geometry-optimized SbAuBr2 structure, from the Alexandria database.

a b c (Å): 3.5733 3.5733 25.9068
angles (deg): 90.00 90.00 120.00
Space group R-3m (No. 166, hexagonal axes)
Unique sites:
Sb 0.0000 0.0000 0.0000 (multiplicity 3)
Au 0.0000 0.0000 0.5000 (multiplicity 3)
Br 0.0000 0.0000 0.2391 (multiplicity 6)

Calculated values
M_tot ... 0.00 μB per cell
Crystal system ... trigonal
D(E_F) ... 6.82 states/eV/cell

***

#3
The following is a PBEsol calculation of a geometry-optimized SbAuBr2 structure, from the Alexandria database.

a b c (Å): 3.6805 3.6805 27.3472
angles (deg): 90.00 90.00 120.00
Space group R-3m (No. 166, hexagonal axes)
Unique sites:
Sb 0.0000 0.0000 0.0000 (multiplicity 3)
Au 0.0000 0.0000 0.5000 (multiplicity 3)
Br 0.0000 0.0000 0.1011 (multiplicity 6)

Calculated values
M_tot ... 0.00 μB per cell
Crystal system ... trigonal
D(E_F) ... 2.21 states/eV/cell

***

Most stable structure - #1; separation to the second - 12.4 kJ/mol of atoms.

***

#1
The following is a PBEsol calculation of a geometry-optimized SbAu2Br structure, from the Alexandria database.

a b c (Å): 3.1629 4.9256 10.9263
angles (deg): 90.00 90.00 90.00
Space group Immm (No. 71)
Unique sites:
Sb 0.0000 0.0000 0.0000 (multiplicity 2)
Au 0.0000 0.5000 0.2716 (multiplicity 4)
Br 0.0000 0.0000 0.5000 (multiplicity 2)

Calculated values
M_tot ... 0.00 μB per cell
Crystal system ... orthorhombic
D(E_F) ... 2.43 states/eV/cell

***

#2
The following is a PBEsol calculation of a geometry-optimized SbAu2Br structure, from the Alexandria database.

a b c (Å): 3.5251 3.6155 7.4093
angles (deg): 90.00 103.71 90.00
Space group Pm (No. 6)
Unique sites:
Sb 0.0000 0.0000 0.0000 (multiplicity 1)
Au 0.4067 0.5000 0.8162 (multiplicity 1)
Au 0.8085 0.0000 0.6233 (multiplicity 1)
Br 0.6707 0.5000 0.3450 (multiplicity 1)

Calculated values
M_tot ... 0.00 μB per cell
Crystal system ... monoclinic
D(E_F) ... 0.71 states/eV/cell

***

Most stable structure - #2; separation to the second - 22.3 kJ/mol of atoms.

***

#1
The following is a PBEsol calculation of a geometry-optimized SbAu2Br structure, from the Alexandria database.

a b c (Å): 4.5645 4.5645 8.0524
angles (deg): 90.00 90.00 90.00
Space group I-4m2 (No. 119)
Unique sites:
Sb 0.0000 0.0000 0.0000 (multiplicity 2)
Au 0.0000 0.0000 0.5000 (multiplicity 2)
Au 0.0000 0.5000 0.2500 (multiplicity 2)
Br 0.0000 0.5000 0.7500 (multiplicity 2)

Calculated values
M_tot ... 0.00 μB per cell
Crystal system ... tetragonal
D(E_F) ... 1.76 states/eV/cell

***

#2
The following is a PBEsol calculation of a geometry-optimized SbAu2Br structure, from the Alexandria database.

a b c (Å): 6.5842 6.5842 10.5220
angles (deg): 90.00 90.00 90.00
Space group I-42d (No. 122)
Unique sites:
Sb 0.0000 0.0000 0.0000 (multiplicity 4)
Au 0.2308 0.7500 0.1250 (multiplicity 8)
Br 0.0000 0.0000 0.5000 (multiplicity 4)

Calculated values
M_tot ... 0.00 μB per cell
Crystal system ... tetragonal
D(E_F) ... 4.56 states/eV/cell

***

Most stable structure - #2; separation to the second - 16.3 kJ/mol of atoms.

***

#1
The following is a PBEsol calculation of a geometry-optimized Sb2AuBr structure, from the Alexandria database.

a b c (Å): 6.0627 6.0627 14.3559
angles (deg): 90.00 90.00 90.00
Space group I-42d (No. 122)
Unique sites:
Sb 0.1937 0.2500 0.1250 (multiplicity 8)
Au 0.0000 0.0000 0.0000 (multiplicity 4)
Br 0.0000 0.0000 0.5000 (multiplicity 4)

Calculated values
M_tot ... 0.00 μB per cell
Crystal system ... tetragonal
D(E_F) ... 12.92 states/eV/cell

***

#2
The following is a PBEsol calculation of a geometry-optimized Sb2AuBr structure, from the Alexandria database.

a b c (Å): 7.1737 4.3275 7.2486
angles (deg): 90.00 103.18 90.00
Space group C2/m (No. 12)
Unique sites:
Sb 0.1889 0.0000 0.1783 (multiplicity 4)
Au 0.0000 0.5000 0.0000 (multiplicity 2)
Br 0.0000 0.0000 0.5000 (multiplicity 2)

Calculated values
M_tot ... 0.00 μB per cell
Crystal system ... monoclinic
D(E_F) ... 3.01 states/eV/cell

***

#3
The following is a PBEsol calculation of a geometry-optimized Sb2AuBr structure, from the Alexandria database.

a b c (Å): 7.1150 7.1150 7.1150
angles (deg): 90.00 90.00 90.00
Space group Fm-3m (No. 225)
Unique sites:
Sb 0.2500 0.2500 0.2500 (multiplicity 8)
Au 0.0000 0.0000 0.0000 (multiplicity 4)
Br 0.0000 0.0000 0.5000 (multiplicity 4)

Calculated values
M_tot ... 0.00 μB per cell
Crystal system ... cubic
D(E_F) ... 8.36 states/eV/cell

***

Most stable structure - #2; separation to the second - 32.7 kJ/mol of atoms.

***

#1
The following is a PBEsol calculation of a geometry-optimized ScAu2Br structure, from the Alexandria database.

a b c (Å): 3.7449 3.9539 5.2796
angles (deg): 90.00 90.00 90.00
Space group Pmmm (No. 47)
Unique sites:
Sc 0.0000 0.0000 0.0000 (multiplicity 1)
Au 0.0000 0.5000 0.5000 (multiplicity 1)
Au 0.5000 0.0000 0.5000 (multiplicity 1)
Br 0.5000 0.5000 0.0000 (multiplicity 1)

Calculated values
M_tot ... 0.00 μB per cell
Crystal system ... orthorhombic
D(E_F) ... 2.36 states/eV/cell

***

#2
The following is a PBEsol calculation of a geometry-optimized ScAu2Br structure, from the Alexandria database.

a b c (Å): 6.7502 6.7502 6.7502
angles (deg): 90.00 90.00 90.00
Space group F-43m (No. 216)
Unique sites:
Sc 0.0000 0.0000 0.0000 (multiplicity 4)
Au 0.0000 0.0000 0.5000 (multiplicity 4)
Au 0.2500 0.2500 0.2500 (multiplicity 4)
Br 0.2500 0.2500 0.7500 (multiplicity 4)

Calculated values
M_tot ... 0.00 μB per cell
Crystal system ... cubic
D(E_F) ... 4.91 states/eV/cell

***

#3
The following is a PBEsol calculation of a geometry-optimized ScAu2Br structure, from the Alexandria database.

a b c (Å): 3.6038 3.6038 23.2017
angles (deg): 90.00 90.00 120.00
Space group R-3m (No. 166, hexagonal axes)
Unique sites:
Sc 0.0000 0.0000 0.0000 (multiplicity 3)
Au 0.0000 0.0000 0.2569 (multiplicity 6)
Br 0.0000 0.0000 0.5000 (multiplicity 3)

Calculated values
M_tot ... 0.00 μB per cell
Crystal system ... trigonal
D(E_F) ... 0.46 states/eV/cell

***

Most stable structure - #3; separation to the second - 5.8 kJ/mol of atoms.

***

#1
The following is a PBEsol calculation of a geometry-optimized SiAuBr2 structure, from the Alexandria database.

a b c (Å): 3.4808 3.4808 6.8179
angles (deg): 90.00 90.00 90.00
Space group P4/mmm (No. 123)
Unique sites:
Si 0.0000 0.0000 0.0000 (multiplicity 1)
Au 0.0000 0.0000 0.5000 (multiplicity 1)
Br 0.5000 0.5000 0.2413 (multiplicity 2)

Calculated values
M_tot ... 0.00 μB per cell
Crystal system ... tetragonal
D(E_F) ... 1.65 states/eV/cell

***

#2
The following is a PBEsol calculation of a geometry-optimized SiAuBr2 structure, from the Alexandria database.

a b c (Å): 7.6424 7.6130 3.2652
angles (deg): 90.00 90.53 90.00
Space group C2/m (No. 12)
Unique sites:
Si 0.0000 0.0000 0.0000 (multiplicity 2)
Au 0.0000 0.5000 0.0000 (multiplicity 2)
Br 0.2500 0.2500 0.0000 (multiplicity 4)

Calculated values
M_tot ... 0.00 μB per cell
Crystal system ... monoclinic
D(E_F) ... 2.04 states/eV/cell

***

Most stable structure - #2; separation to the second - 13.7 kJ/mol of atoms.

***

#1
The following is a PBEsol calculation of a geometry-optimized SiAu2Br structure, from the Alexandria database.

a b c (Å): 3.8859 3.8859 5.1478
angles (deg): 90.00 90.00 90.00
Space group P4/mmm (No. 123)
Unique sites:
Si 0.0000 0.0000 0.0000 (multiplicity 1)
Au 0.0000 0.5000 0.5000 (multiplicity 2)
Br 0.5000 0.5000 0.0000 (multiplicity 1)

Calculated values
M_tot ... 0.00 μB per cell
Crystal system ... tetragonal
D(E_F) ... 1.11 states/eV/cell

***

#2
The following is a PBEsol calculation of a geometry-optimized SiAu2Br structure, from the Alexandria database.

a b c (Å): 2.7526 3.4446 8.1421
angles (deg): 90.00 90.00 90.00
Space group Pmmm (No. 47)
Unique sites:
Si 0.0000 0.0000 0.0000 (multiplicity 1)
Au 0.5000 0.5000 0.1914 (multiplicity 2)
Br 0.0000 0.0000 0.5000 (multiplicity 1)

Calculated values
M_tot ... 0.00 μB per cell
Crystal system ... orthorhombic
D(E_F) ... 1.08 states/eV/cell

***

Most stable structure - #2; separation to the second - 18.6 kJ/mol of atoms.

***

#1
The following is a PBEsol calculation of a geometry-optimized SrAu2Br structure, from the Alexandria database.

a b c (Å): 3.8153 3.8153 7.1631
angles (deg): 90.00 90.00 90.00
Space group P4mm (No. 99)
Unique sites:
Sr 0.0000 0.0000 0.0000 (multiplicity 1)
Au 0.0000 0.0000 0.3907 (multiplicity 1)
Au 0.5000 0.5000 0.3383 (multiplicity 1)
Br 0.5000 0.5000 0.8006 (multiplicity 1)

Calculated values
M_tot ... 0.00 μB per cell
Crystal system ... tetragonal
D(E_F) ... 0.73 states/eV/cell

***

#2
The following is a PBEsol calculation of a geometry-optimized SrAu2Br structure, from the Alexandria database.

a b c (Å): 5.7309 5.8198 5.8206
angles (deg): 90.00 90.00 90.00
Space group Cmmm (No. 65)
Unique sites:
Sr 0.0000 0.0000 0.0000 (multiplicity 2)
Au 0.0000 0.2472 0.5000 (multiplicity 4)
Br 0.0000 0.5000 0.0000 (multiplicity 2)

Calculated values
M_tot ... 0.00 μB per cell
Crystal system ... orthorhombic
D(E_F) ... 1.94 states/eV/cell

***

Most stable structure - #1; separation to the second - 5.7 kJ/mol of atoms.

***

#1
The following is a PBEsol calculation of a geometry-optimized TaAuBr2 structure, from the Alexandria database.

a b c (Å): 4.3964 4.3964 4.0748
angles (deg): 90.00 90.00 90.00
Space group P4/mmm (No. 123)
Unique sites:
Ta 0.0000 0.0000 0.0000 (multiplicity 1)
Au 0.5000 0.5000 0.0000 (multiplicity 1)
Br 0.0000 0.5000 0.5000 (multiplicity 2)

Calculated values
M_tot ... 1.88 μB per cell
Crystal system ... tetragonal
D(E_F) ... 3.66 states/eV/cell

***

#2
The following is a PBEsol calculation of a geometry-optimized TaAuBr2 structure, from the Alexandria database.

a b c (Å): 4.5247 4.5247 7.7610
angles (deg): 90.00 90.00 90.00
Space group I-4m2 (No. 119)
Unique sites:
Ta 0.0000 0.0000 0.0000 (multiplicity 2)
Au 0.0000 0.5000 0.2500 (multiplicity 2)
Br 0.0000 0.0000 0.5000 (multiplicity 2)
Br 0.0000 0.5000 0.7500 (multiplicity 2)

Calculated values
M_tot ... 3.31 μB per cell
Crystal system ... tetragonal
D(E_F) ... 7.05 states/eV/cell

***

Most stable structure - #2; separation to the second - 6.7 kJ/mol of atoms.

***

#1
The following is a PBEsol calculation of a geometry-optimized Te3AuBr structure, from the Alexandria database.

a b c (Å): 5.3705 5.3705 5.3705
angles (deg): 90.00 90.00 90.00
Space group Pm-3m (No. 221)
Unique sites:
Te 0.0000 0.0000 0.5000 (multiplicity 3)
Au 0.0000 0.0000 0.0000 (multiplicity 1)
Br 0.5000 0.5000 0.5000 (multiplicity 1)

Calculated values
M_tot ... 0.00 μB per cell
Crystal system ... cubic
D(E_F) ... 7.68 states/eV/cell

***

#2
The following is a PBEsol calculation of a geometry-optimized Te3AuBr structure, from the Alexandria database.

a b c (Å): 5.4198 5.4198 5.4198
angles (deg): 90.00 90.00 90.00
Space group Pm-3m (No. 221)
Unique sites:
Te 0.0000 0.0000 0.5000 (multiplicity 3)
Au 0.5000 0.5000 0.5000 (multiplicity 1)
Br 0.0000 0.0000 0.0000 (multiplicity 1)

Calculated values
M_tot ... 0.00 μB per cell
Crystal system ... cubic
D(E_F) ... 4.65 states/eV/cell

***

Most stable structure - #1; separation to the second - 58.7 kJ/mol of atoms.

***

#1
The following is a PBEsol calculation of a geometry-optimized Tl2AuBr structure, from the Alexandria database.

a b c (Å): 4.8771 3.8278 11.6308
angles (deg): 90.00 90.00 90.00
Space group Amm2 (No. 38)
Unique sites:
Tl 0.0000 0.0000 0.0000 (multiplicity 2)
Tl 0.5000 0.0000 0.2452 (multiplicity 2)
Au 0.5000 0.0000 0.4987 (multiplicity 2)
Br 0.0000 0.0000 0.7404 (multiplicity 2)

Calculated values
M_tot ... 0.00 μB per cell
Crystal system ... orthorhombic
D(E_F) ... 1.08 states/eV/cell

***

#2
The following is a PBEsol calculation of a geometry-optimized Tl2AuBr structure, from the Alexandria database.

a b c (Å): 5.2799 5.2902 7.4731
angles (deg): 90.00 90.00 90.00
Space group Immm (No. 71)
Unique sites:
Tl 0.0000 0.0000 0.2495 (multiplicity 4)
Au 0.0000 0.5000 0.5000 (multiplicity 2)
Br 0.0000 0.5000 0.0000 (multiplicity 2)

Calculated values
M_tot ... 0.00 μB per cell
Crystal system ... orthorhombic
D(E_F) ... 0.50 states/eV/cell

***

Most stable structure - #1; separation to the second - 2.1 kJ/mol of atoms.

***

#1
The following is a PBEsol calculation of a geometry-optimized WAu2Br structure, from the Alexandria database.

a b c (Å): 5.2541 5.2541 2.6780
angles (deg): 90.00 90.00 90.00
Space group P4/mmm (No. 123)
Unique sites:
W 0.0000 0.0000 0.0000 (multiplicity 1)
Au 0.0000 0.5000 0.5000 (multiplicity 2)
Br 0.5000 0.5000 0.0000 (multiplicity 1)

Calculated values
M_tot ... 0.00 μB per cell
Crystal system ... tetragonal
D(E_F) ... 3.94 states/eV/cell

***

#2
The following is a PBEsol calculation of a geometry-optimized WAu2Br structure, from the Alexandria database.

a b c (Å): 2.8428 3.0389 8.6015
angles (deg): 90.00 90.00 90.00
Space group Pmmm (No. 47)
Unique sites:
W 0.0000 0.0000 0.0000 (multiplicity 1)
Au 0.5000 0.5000 0.2170 (multiplicity 2)
Br 0.5000 0.0000 0.5000 (multiplicity 1)

Calculated values
M_tot ... 0.00 μB per cell
Crystal system ... orthorhombic
D(E_F) ... 3.30 states/eV/cell

***

Most stable structure - #2; separation to the second - 51.9 kJ/mol of atoms.

***

#1
The following is a PBEsol calculation of a geometry-optimized YAuBr structure, from the Alexandria database.

a b c (Å): 6.6944 6.6944 6.6944
angles (deg): 90.00 90.00 90.00
Space group F-43m (No. 216)
Unique sites:
Y 0.0000 0.0000 0.0000 (multiplicity 4)
Au 0.0000 0.0000 0.5000 (multiplicity 4)
Br 0.2500 0.2500 0.7500 (multiplicity 4)

Calculated values
M_tot ... 0.00 μB per cell
Crystal system ... cubic
D(E_F) ... 8.58 states/eV/cell

***

#2
The following is a PBEsol calculation of a geometry-optimized YAuBr structure, from the Alexandria database.

a b c (Å): 4.7889 4.7889 3.5714
angles (deg): 90.00 90.00 120.00
Space group P3m1 (No. 156)
Unique sites:
Y 0.0000 0.0000 0.0000 (multiplicity 1)
Au 0.3333 0.6667 0.5016 (multiplicity 1)
Br 0.6667 0.3333 0.0032 (multiplicity 1)

Calculated values
M_tot ... 0.00 μB per cell
Crystal system ... trigonal
D(E_F) ... 1.57 states/eV/cell

***

Most stable structure - #2; separation to the second - 27.3 kJ/mol of atoms.